Density functional theory data (PBE) for a geometry-optimized CsCo2Te3 structure.

Structure (POSCAR):
```
CsCo2Te3
1.0
1.9563 -8.3876 0.0000
1.9563 8.3876 0.0000
0.0000 0.0000 10.3990
Cs Co Te
2 4 6
Direct
0.2486 0.7514 0.7500 Cs
0.7514 0.2486 0.2500 Cs
0.0000 0.0000 0.0000 Co
0.0000 0.0000 0.5000 Co
0.4673 0.5327 0.2500 Co
0.5327 0.4673 0.7500 Co
0.0561 0.9439 0.2500 Te
0.3999 0.6001 0.0414 Te
0.3999 0.6001 0.4586 Te
0.6001 0.3999 0.5414 Te
0.6001 0.3999 0.9586 Te
0.9439 0.0561 0.7500 Te
```

Final energy ... -4.30 eV per atom
Crystal system ... orthorhombic



Density functional theory data (PBE) for a geometry-optimized CsCo3Te5 structure.

Structure (POSCAR):
```
CsCo3Te5
1.0
5.9024 0.0000 0.0000
-2.9512 5.1116 0.0000
0.0000 0.0000 8.1992
Cs Co Te
1 3 5
Direct
0.0000 0.0000 0.0000 Cs
0.0000 0.5000 0.5000 Co
0.5000 0.0000 0.5000 Co
0.5000 0.5000 0.5000 Co
0.0000 0.0000 0.5000 Te
0.3333 0.6667 0.2750 Te
0.3333 0.6667 0.7250 Te
0.6667 0.3333 0.2750 Te
0.6667 0.3333 0.7250 Te
```

Final energy ... -4.41 eV per atom
Crystal system ... hexagonal



Density functional theory data (PBE) for a geometry-optimized CsTmCoTe3 structure.

Structure (POSCAR):
```
CsTmCoTe3
1.0
11.4103 0.0000 0.0000
0.0000 4.2620 0.0000
0.0000 0.0000 17.3113
Cs Tm Co Te
4 4 4 12
Direct
0.2481 0.2500 0.0086 Cs
0.2519 0.7500 0.5086 Cs
0.7481 0.2500 0.4914 Cs
0.7519 0.7500 0.9914 Cs
0.0067 0.7500 0.2488 Tm
0.4933 0.2500 0.7488 Tm
0.5067 0.7500 0.2512 Tm
0.9933 0.2500 0.7512 Tm
0.2436 0.7500 0.7831 Co
0.2564 0.2500 0.2831 Co
0.7436 0.7500 0.7169 Co
0.7564 0.2500 0.2169 Co
0.0581 0.7500 0.8687 Te
0.0689 0.2500 0.3668 Te
0.2427 0.2500 0.6937 Te
0.2573 0.7500 0.1937 Te
0.4311 0.7500 0.8668 Te
0.4419 0.2500 0.3687 Te
0.5581 0.7500 0.6313 Te
0.5689 0.2500 0.1332 Te
0.7427 0.2500 0.8063 Te
0.7573 0.7500 0.3063 Te
0.9311 0.7500 0.6332 Te
0.9419 0.2500 0.1313 Te
```

Final energy ... -4.49 eV per atom
Crystal system ... orthorhombic



Density functional theory data (PBE) for a geometry-optimized CsTmCoTe3 structure.

Structure (POSCAR):
```
CsTmCoTe3
1.0
10.4760 0.0000 0.0000
0.0000 4.2410 0.0000
-4.3273 0.0000 9.6850
Cs Tm Co Te
2 2 2 6
Direct
0.2120 0.2500 0.2448 Cs
0.7880 0.7500 0.7552 Cs
0.3304 0.7500 0.8607 Tm
0.6696 0.2500 0.1393 Tm
0.0749 0.2500 0.5907 Co
0.9251 0.7500 0.4093 Co
0.1198 0.2500 0.8500 Te
0.1850 0.7500 0.5405 Te
0.4765 0.7500 0.1714 Te
0.5235 0.2500 0.8286 Te
0.8150 0.2500 0.4595 Te
0.8802 0.7500 0.1500 Te
```

Final energy ... -4.50 eV per atom
Crystal system ... monoclinic



Density functional theory data (PBE) for a geometry-optimized CsTmCoTe3 structure.

Structure (POSCAR):
```
CsTmCoTe3
1.0
2.1319 -8.6549 0.0000
2.1319 8.6549 0.0000
0.0000 0.0000 11.3876
Cs Tm Co Te
2 2 2 6
Direct
0.2410 0.7590 0.7500 Cs
0.7590 0.2410 0.2500 Cs
0.5000 0.5000 0.0000 Tm
0.5000 0.5000 0.5000 Tm
0.0327 0.9673 0.2500 Co
0.9673 0.0327 0.7500 Co
0.1181 0.8819 0.0638 Te
0.1181 0.8819 0.4362 Te
0.4431 0.5569 0.2500 Te
0.5569 0.4431 0.7500 Te
0.8819 0.1181 0.5638 Te
0.8819 0.1181 0.9362 Te
```

Final energy ... -4.49 eV per atom
Crystal system ... orthorhombic



Density functional theory data (PBE) for a geometry-optimized CsUCo structure.

Structure (POSCAR):
```
CsUCo
1.0
0.0000 3.3550 3.3550
3.3550 0.0000 3.3550
3.3550 3.3550 0.0000
Cs U Co
1 1 1
Direct
0.0000 0.0000 0.0000 Cs
0.2500 0.2500 0.2500 U
0.7500 0.7500 0.7500 Co
```

Final energy ... -4.15 eV per atom
Crystal system ... cubic



Density functional theory data (PBE) for a geometry-optimized CsUCo structure.

Structure (POSCAR):
```
CsUCo
1.0
0.0000 3.4017 3.4017
3.4017 0.0000 3.4017
3.4017 3.4017 0.0000
Cs U Co
1 1 1
Direct
0.0000 0.0000 0.0000 Cs
0.5000 0.5000 0.5000 U
0.2500 0.2500 0.2500 Co
```

Final energy ... -4.74 eV per atom
Crystal system ... cubic



Density functional theory data (PBE) for a geometry-optimized CsZnCo structure.

Structure (POSCAR):
```
CsZnCo
1.0
0.0000 4.1568 4.1568
4.1568 0.0000 4.1568
4.1568 4.1568 0.0000
Cs Zn Co
1 1 1
Direct
0.0000 0.0000 0.0000 Cs
0.2500 0.2500 0.2500 Zn
0.7500 0.7500 0.7500 Co
```

Final energy ... -1.64 eV per atom
Crystal system ... cubic



Density functional theory data (PBE) for a geometry-optimized CsZrCo structure.

Structure (POSCAR):
```
CsZrCo
1.0
0.0000 3.2635 3.2635
3.2635 0.0000 3.2635
3.2635 3.2635 0.0000
Cs Zr Co
1 1 1
Direct
0.0000 0.0000 0.0000 Cs
0.2500 0.2500 0.2500 Zr
0.7500 0.7500 0.7500 Co
```

Final energy ... -3.46 eV per atom
Crystal system ... cubic



Density functional theory data (PBE) for a geometry-optimized CoCu structure.

Structure (POSCAR):
```
CoCu
1.0
2.5163 0.0000 0.0000
-1.2582 2.1792 0.0000
0.0000 0.0000 16.5290
Co Cu
4 4
Direct
0.0000 0.0000 0.0000 Co
0.0000 0.0000 0.3622 Co
0.3333 0.6667 0.1188 Co
0.6667 0.3333 0.2435 Co
0.0000 0.0000 0.6178 Cu
0.3333 0.6667 0.7447 Cu
0.6667 0.3333 0.4901 Cu
0.6667 0.3333 0.8721 Cu
```

Formation enthalpy at 0 K ... 0.0386 eV/atom
Crystal system ... trigonal



Density functional theory data (PBE) for a geometry-optimized Co2Cu structure.

Structure (POSCAR):
```
Co2Cu
1.0
4.7221 0.0000 0.0000
0.0000 4.7221 0.0000
0.0000 0.0000 3.9955
Co Cu
4 2
Direct
0.1684 0.1684 0.0000 Co
0.3316 0.6684 0.5000 Co
0.6684 0.3316 0.5000 Co
0.8316 0.8316 0.0000 Co
0.0000 0.0000 0.5000 Cu
0.5000 0.5000 0.0000 Cu
```

Formation enthalpy at 0 K ... 1.2155 eV/atom
Crystal system ... tetragonal



Density functional theory data (PBE) for a geometry-optimized Co2Cu structure.

Structure (POSCAR):
```
Co2Cu
1.0
0.0000 5.1133 5.1133
5.1133 0.0000 5.1133
5.1133 5.1133 0.0000
Co Cu
4 2
Direct
0.0000 0.0000 0.0000 Co
0.0000 0.0000 0.5000 Co
0.0000 0.5000 0.0000 Co
0.5000 0.0000 0.0000 Co
0.1250 0.1250 0.1250 Cu
0.8750 0.8750 0.8750 Cu
```

Formation enthalpy at 0 K ... 2.6834 eV/atom
Crystal system ... cubic



Density functional theory data (PBE) for a geometry-optimized CoCu structure.

Structure (POSCAR):
```
CoCu
1.0
2.5116 0.0000 0.0000
-1.2558 2.1751 0.0000
0.0000 0.0000 12.3867
Co Cu
3 3
Direct
0.0000 0.0000 0.0000 Co
0.3333 0.6667 0.1602 Co
0.6667 0.3333 0.8398 Co
0.0000 0.0000 0.5000 Cu
0.3333 0.6667 0.6703 Cu
0.6667 0.3333 0.3297 Cu
```

Formation enthalpy at 0 K ... 0.0485 eV/atom
Crystal system ... trigonal



Density functional theory data (PBE) for a geometry-optimized Dy2CoCu structure.

Structure (POSCAR):
```
Dy2CoCu
1.0
4.2247 0.0000 0.0000
0.0000 5.4388 0.0000
0.0000 0.0000 7.0543
Dy Co Cu
4 2 2
Direct
0.0000 0.1109 0.0000 Dy
0.0000 0.8891 0.5000 Dy
0.5000 0.3777 0.6370 Dy
0.5000 0.6223 0.1370 Dy
0.5000 0.1250 0.2827 Co
0.5000 0.8750 0.7827 Co
0.0000 0.3749 0.3521 Cu
0.0000 0.6251 0.8521 Cu
```

Formation enthalpy at 0 K ... -0.2254 eV/atom
Crystal system ... orthorhombic



Density functional theory data (PBE) for a geometry-optimized Dy2CoCu structure.

Structure (POSCAR):
```
Dy2CoCu
1.0
5.4969 0.0000 0.0000
0.0000 4.1634 0.0000
-2.6658 0.0000 7.0973
Dy Co Cu
4 2 2
Direct
0.2140 0.2500 0.4360 Dy
0.2255 0.2500 0.9241 Dy
0.7745 0.7500 0.0759 Dy
0.7860 0.7500 0.5640 Dy
0.3612 0.7500 0.7173 Co
0.6388 0.2500 0.2827 Co
0.3563 0.7500 0.2148 Cu
0.6437 0.2500 0.7852 Cu
```

Formation enthalpy at 0 K ... -0.2352 eV/atom
Crystal system ... monoclinic



Density functional theory data (PBE) for a geometry-optimized GdDy2In3Co2Cu structure.

Structure (POSCAR):
```
GdDy2In3Co2Cu
1.0
3.8900 0.0000 0.0000
0.0000 6.3810 3.6844
0.0000 -6.3810 3.6844
Gd Dy In Co Cu
1 2 3 2 1
Direct
0.0000 0.0000 0.0000 Gd
0.0000 0.4139 0.8271 Dy
0.0000 0.8271 0.4139 Dy
0.5000 0.1560 0.4150 In
0.5000 0.4150 0.1560 In
0.5000 0.6708 0.6708 In
0.5000 0.0809 0.7467 Co
0.5000 0.7467 0.0809 Co
0.0000 0.4145 0.4145 Cu
```

Final energy ... -4.78 eV per atom
Crystal system ... orthorhombic



Density functional theory data (PBE) for a geometry-optimized Dy2TmIn3Co2Cu structure.

Structure (POSCAR):
```
Dy2TmIn3Co2Cu
1.0
3.8398 0.0000 0.0000
0.0000 6.3928 3.6943
0.0000 -6.3928 3.6943
Dy Tm In Co Cu
2 1 3 2 1
Direct
0.0000 0.2065 0.7935 Dy
0.0000 0.7935 0.2065 Dy
0.0000 0.3808 0.3808 Tm
0.5000 0.0534 0.0534 In
0.5000 0.5343 0.7919 In
0.5000 0.7919 0.5343 In
0.5000 0.1280 0.4593 Co
0.5000 0.4593 0.1280 Co
0.0000 0.7923 0.7923 Cu
```

Final energy ... -4.76 eV per atom
Crystal system ... orthorhombic



Density functional theory data (PBE) for a geometry-optimized Dy2CoCuN2 structure.

Structure (POSCAR):
```
Dy2CoCuN2
1.0
3.5216 0.0000 0.0000
0.0000 3.7348 0.0000
0.0000 0.0000 6.6087
Dy Co Cu N
2 1 1 2
Direct
0.0000 0.0000 0.2482 Dy
0.0000 0.0000 0.7518 Dy
0.5000 0.5000 0.0000 Co
0.5000 0.5000 0.5000 Cu
0.0000 0.5000 0.0000 N
0.5000 0.0000 0.5000 N
```

Final energy ... -6.96 eV per atom
Crystal system ... orthorhombic



Density functional theory data (PBE) for a geometry-optimized Dy2CoCuSi4 structure.

Structure (POSCAR):
```
Dy2CoCuSi4
1.0
3.9816 0.0000 0.0000
0.0000 2.0054 8.2529
0.0000 -2.0054 8.2529
Dy Co Cu Si
2 1 1 4
Direct
0.0000 0.0000 0.0000 Dy
0.5000 0.2114 0.2114 Dy
0.0000 0.7893 0.7893 Co
0.5000 0.4366 0.4366 Cu
0.0000 0.3539 0.3539 Si
0.0000 0.6536 0.6536 Si
0.5000 0.5745 0.5745 Si
0.5000 0.8542 0.8542 Si
```

Final energy ... -5.92 eV per atom
Crystal system ... orthorhombic



Density functional theory data (PBE) for a geometry-optimized Gd2ErIn3Co2Cu structure.

Structure (POSCAR):
```
Gd2ErIn3Co2Cu
1.0
3.9016 0.0000 0.0000
0.0000 6.3844 3.6842
0.0000 -6.3844 3.6842
Gd Er In Co Cu
2 1 3 2 1
Direct
0.0000 0.2069 0.7931 Gd
0.0000 0.7931 0.2069 Gd
0.0000 0.3802 0.3802 Er
0.5000 0.0532 0.0532 In
0.5000 0.5345 0.7904 In
0.5000 0.7904 0.5345 In
0.5000 0.1277 0.4588 Co
0.5000 0.4588 0.1277 Co
0.0000 0.7914 0.7914 Cu
```

Final energy ... -4.78 eV per atom
Crystal system ... orthorhombic



Density functional theory data (PBE) for a geometry-optimized HoEr2In3Co2Cu structure.

Structure (POSCAR):
```
HoEr2In3Co2Cu
1.0
3.8442 0.0000 0.0000
0.0000 6.3673 3.6754
0.0000 -6.3673 3.6754
Ho Er In Co Cu
1 2 3 2 1
Direct
0.0000 0.0000 0.0000 Ho
0.0000 0.4130 0.8258 Er
0.0000 0.8258 0.4130 Er
0.5000 0.1536 0.4135 In
0.5000 0.4135 0.1536 In
0.5000 0.6720 0.6720 In
0.5000 0.0799 0.7460 Co
0.5000 0.7460 0.0799 Co
0.0000 0.4133 0.4133 Cu
```

Final energy ... -4.76 eV per atom
Crystal system ... orthorhombic



Density functional theory data (PBE) for a geometry-optimized ErLu2In3Co2Cu structure.

Structure (POSCAR):
```
ErLu2In3Co2Cu
1.0
3.7923 0.0000 0.0000
0.0000 6.3574 3.6689
0.0000 -6.3574 3.6689
Er Lu In Co Cu
1 2 3 2 1
Direct
0.0000 0.0000 0.0000 Er
0.0000 0.4132 0.8259 Lu
0.0000 0.8259 0.4132 Lu
0.5000 0.1526 0.4142 In
0.5000 0.4142 0.1526 In
0.5000 0.6730 0.6730 In
0.5000 0.0804 0.7458 Co
0.5000 0.7458 0.0804 Co
0.0000 0.4140 0.4140 Cu
```

Final energy ... -4.75 eV per atom
Crystal system ... orthorhombic



Density functional theory data (PBE) for a geometry-optimized Er2TmIn3Co2Cu structure.

Structure (POSCAR):
```
Er2TmIn3Co2Cu
1.0
3.8367 0.0000 0.0000
0.0000 6.3557 3.6721
0.0000 -6.3557 3.6721
Er Tm In Co Cu
2 1 3 2 1
Direct
0.0000 0.2063 0.7937 Er
0.0000 0.7937 0.2063 Er
0.0000 0.3814 0.3814 Tm
0.5000 0.0537 0.0537 In
0.5000 0.5341 0.7932 In
0.5000 0.7932 0.5341 In
0.5000 0.1274 0.4601 Co
0.5000 0.4601 0.1274 Co
0.0000 0.7934 0.7934 Cu
```

Final energy ... -4.75 eV per atom
Crystal system ... orthorhombic



Density functional theory data (PBE) for a geometry-optimized ErCoCuSi2 structure.

Structure (POSCAR):
```
ErCoCuSi2
1.0
-1.9681 1.9681 4.8290
1.9681 -1.9681 4.8290
1.9681 1.9681 -4.8290
Er Co Cu Si
1 1 1 2
Direct
0.0000 0.0000 0.0000 Er
0.2500 0.7500 0.5000 Co
0.7500 0.2500 0.5000 Cu
0.3768 0.3768 0.0000 Si
0.6232 0.6232 0.0000 Si
```

Final energy ... -5.89 eV per atom
Crystal system ... tetragonal